[1]
Here is a geometry-optimized GdNi3As2 structure from the Open Quantum Materials Database. Energies are from PBE-GGA.

Cell lengths 8.013, 8.013, 9.433 Å; angles 106.12, 106.12, 27.96 degrees
Sites, in units of the cell vectors:
Gd  0.000  0.000  0.000
Gd  0.155  0.155  0.700
Gd  0.845  0.845  0.300
Ni  0.045  0.045  0.342
Ni  0.215  0.215  0.389
Ni  0.325  0.325  0.031
Ni  0.374  0.374  0.796
Ni  0.500  0.500  0.500
Ni  0.626  0.626  0.204
Ni  0.675  0.675  0.969
Ni  0.785  0.785  0.611
Ni  0.955  0.955  0.658
As  0.200  0.200  0.129
As  0.359  0.359  0.544
As  0.466  0.466  0.217
As  0.534  0.534  0.783
As  0.641  0.641  0.456
As  0.800  0.800  0.871

Properties
final energy: -105.20 eV/cell
space group: C2/m (12)

***

[2]
Here is a geometry-optimized Gd2Ni2AsP structure from the Open Quantum Materials Database. Energies are from PBE-GGA.

Cell lengths 3.990, 3.990, 7.789 Å; angles 90.00, 90.00, 120.00 degrees
Sites, in units of the cell vectors:
Gd  0.000  0.000  0.243
Gd  0.000  0.000  0.757
Ni  0.333  0.667  0.500
Ni  0.667  0.333  0.000
As  0.667  0.333  0.500
P  0.333  0.667  0.000

Properties
final energy: -37.31 eV/cell
space group: P-6m2 (187)

***

[3]
Here is a geometry-optimized PrGdNi2As2 structure from the Open Quantum Materials Database. Energies are from PBE-GGA.

Cell lengths 4.117, 4.117, 8.013 Å; angles 90.00, 90.00, 120.00 degrees
Sites, in units of the cell vectors:
Pr  0.000  0.000  0.000
Gd  0.000  0.000  0.500
Ni  0.333  0.667  0.744
Ni  0.667  0.333  0.256
As  0.333  0.667  0.259
As  0.667  0.333  0.741

Properties
final energy: -36.18 eV/cell
space group: P-3m1 (164)

***

[4]
Here is a geometry-optimized SrGdNi2As2 structure from the Open Quantum Materials Database. Energies are from PBE-GGA.

Cell lengths 4.084, 4.084, 8.327 Å; angles 90.00, 90.00, 120.00 degrees
Sites, in units of the cell vectors:
Sr  0.000  0.000  0.000
Gd  0.000  0.000  0.500
Ni  0.333  0.667  0.270
Ni  0.667  0.333  0.730
As  0.333  0.667  0.733
As  0.667  0.333  0.267

Properties
final energy: -32.44 eV/cell
space group: P-3m1 (164)

***

[5]
Here is a geometry-optimized TbGdNi2As2 structure from the Open Quantum Materials Database. Energies are from PBE-GGA.

Cell lengths 4.072, 4.072, 7.783 Å; angles 90.00, 90.00, 120.00 degrees
Sites, in units of the cell vectors:
Tb  0.000  0.000  0.000
Gd  0.000  0.000  0.500
Ni  0.333  0.667  0.249
Ni  0.667  0.333  0.751
As  0.333  0.667  0.751
As  0.667  0.333  0.249

Properties
final energy: -36.14 eV/cell
space group: P-3m1 (164)

***

[6]
Here is a geometry-optimized Gd5Zr3Ni16As12 structure from the Open Quantum Materials Database. Energies are from PBE-GGA.

Cell lengths 12.762, 12.762, 3.934 Å; angles 90.00, 90.00, 120.00 degrees
Sites, in units of the cell vectors:
Gd  0.000  0.185  0.000
Gd  0.185  0.000  0.000
Gd  0.333  0.667  0.500
Gd  0.667  0.333  0.500
Gd  0.815  0.815  0.000
Zr  0.000  0.565  0.500
Zr  0.435  0.435  0.500
Zr  0.565  0.000  0.500
Ni  0.000  0.000  0.500
Ni  0.000  0.724  0.000
Ni  0.120  0.483  0.000
Ni  0.184  0.807  0.500
Ni  0.193  0.377  0.500
Ni  0.276  0.276  0.000
Ni  0.363  0.880  0.000
Ni  0.377  0.193  0.500
Ni  0.483  0.120  0.000
Ni  0.517  0.637  0.000
Ni  0.623  0.816  0.500
Ni  0.637  0.517  0.000
Ni  0.724  0.000  0.000
Ni  0.807  0.184  0.500
Ni  0.816  0.623  0.500
Ni  0.880  0.363  0.000
As  0.000  0.358  0.500
As  0.000  0.821  0.500
As  0.173  0.694  0.000
As  0.179  0.179  0.500
As  0.306  0.478  0.000
As  0.358  0.000  0.500
As  0.478  0.306  0.000
As  0.522  0.827  0.000
As  0.642  0.642  0.500
As  0.694  0.173  0.000
As  0.821  0.000  0.500
As  0.827  0.522  0.000

Properties
final energy: -224.44 eV/cell
space group: P-62m (189)

***

[7]
Here is a geometry-optimized GdAs2O structure from the Open Quantum Materials Database. Energies are from PBE-GGA.

Cell lengths 3.875, 3.875, 10.396 Å; angles 90.00, 90.00, 90.00 degrees
Sites, in units of the cell vectors:
Gd  0.250  0.250  0.112
Gd  0.750  0.750  0.888
As  0.250  0.250  0.713
As  0.250  0.750  0.500
As  0.750  0.250  0.500
As  0.750  0.750  0.287
O  0.250  0.750  0.000
O  0.750  0.250  0.000

Properties
space group: P4/nmm (129)
relative energy among the computed polymorphs: 0 meV per atom

***

[8]
Here is a geometry-optimized Gd2AsO4 structure from the Open Quantum Materials Database. Energies are from PBE-GGA.

Cell lengths 6.804, 6.804, 6.804 Å; angles 60.00, 60.00, 60.00 degrees
Sites, in units of the cell vectors:
Gd  0.000  0.000  0.000
Gd  0.000  0.000  0.500
Gd  0.000  0.500  0.000
Gd  0.500  0.000  0.000
As  0.375  0.375  0.375
As  0.625  0.625  0.625
O  0.219  0.760  0.760
O  0.240  0.240  0.240
O  0.240  0.240  0.781
O  0.240  0.781  0.240
O  0.760  0.219  0.760
O  0.760  0.760  0.219
O  0.760  0.760  0.760
O  0.781  0.240  0.240

Properties
final energy: -99.86 eV/cell
space group: Fd-3m (227)